First-principles (PBE+U) data for an optimized crystal structure of Cs2Mo2O11, as listed in Alexandria.

a b c (Å): 8.0507 8.9998 9.2685
angles (deg): 65.40 67.31 81.71
Space group P-1 (No. 2)
Inequivalent atoms, fractional coordinates:
Cs (0.1860, 0.3731, 0.2736) (multiplicity 2)
Cs (0.2285, 0.9182, 0.8518) (multiplicity 2)
Mo (0.2927, 0.8701, 0.3263) (multiplicity 2)
Mo (0.3360, 0.4185, 0.7295) (multiplicity 2)
O (0.0635, 0.8185, 0.3229) (multiplicity 2)
O (0.1244, 0.3330, 0.8661) (multiplicity 2)
O (0.1505, 0.9139, 0.5322) (multiplicity 2)
O (0.2187, 0.7474, 0.2240) (multiplicity 2)
O (0.2535, 0.5897, 0.5458) (multiplicity 2)
O (0.3419, 0.0654, 0.1692) (multiplicity 2)
O (0.3437, 0.8975, 0.5080) (multiplicity 2)
O (0.3511, 0.4598, 0.4897) (multiplicity 2)
O (0.3619, 0.5921, 0.7980) (multiplicity 2)
O (0.4421, 0.4370, 0.8811) (multiplicity 2)
O (0.4635, 0.2203, 0.7372) (multiplicity 2)

Computed properties:
Final energy, eV per atom: -5.857
Fermi-level density of states, states/eV/cell: 0.0

First-principles (PBE+U) data for an optimized crystal structure of CsMoO3, as listed in Alexandria.

a b c (Å): 3.1377 8.2054 8.2212
angles (deg): 90.00 90.00 90.00
Space group Amm2 (No. 38)
Inequivalent atoms, fractional coordinates:
Cs (0.0000, 0.0000, 0.0000) (multiplicity 2)
Mo (0.5000, 0.0000, 0.5143) (multiplicity 2)
O (0.0000, 0.1493, 0.5776) (multiplicity 4)
O (0.5000, 0.0000, 0.3025) (multiplicity 2)

Computed properties:
Final energy, eV per atom: -6.098
Fermi-level density of states, states/eV/cell: 0.0

First-principles (PBE+U) data for an optimized crystal structure of Cs3MoO4, as listed in Alexandria.

a b c (Å): 8.9884 7.4798 6.7644
angles (deg): 90.00 90.00 90.00
Space group Pmn2_1 (No. 31)
Inequivalent atoms, fractional coordinates:
Cs (0.0000, 0.1359, 0.0000) (multiplicity 2)
Cs (0.2394, 0.3250, 0.4899) (multiplicity 4)
Mo (0.0000, 0.8177, 0.4753) (multiplicity 2)
O (0.0000, 0.0555, 0.5653) (multiplicity 2)
O (0.0000, 0.7827, 0.2000) (multiplicity 2)
O (0.1809, 0.7179, 0.5586) (multiplicity 4)

Computed properties:
Final energy, eV per atom: -5.357
ΔE to the lowest computed polymorph, eV/atom: 0.000

First-principles (PBE+U) data for an optimized crystal structure of CsMoO3, as listed in Alexandria.

a b c (Å): 3.7977 3.7977 15.2695
angles (deg): 90.00 90.00 120.00
Space group P6_3/mmc (No. 194)
Inequivalent atoms, fractional coordinates:
Cs (0.3333, 0.6667, 0.2500) (multiplicity 2)
Mo (0.0000, 0.0000, 0.0000) (multiplicity 2)
O (0.0000, 0.0000, 0.2500) (multiplicity 2)
O (0.3333, 0.6667, 0.0423) (multiplicity 4)

Computed properties:
Final energy, eV per atom: -4.947
Fermi-level density of states, states/eV/cell: 5.0

First-principles (PBE+U) data for an optimized crystal structure of CsMoO3, as listed in Alexandria.

a b c (Å): 4.4294 4.4294 4.4294
angles (deg): 90.00 90.00 90.00
Space group Pm-3m (No. 221)
Inequivalent atoms, fractional coordinates:
Cs (0.0000, 0.0000, 0.0000) (multiplicity 1)
Mo (0.5000, 0.5000, 0.5000) (multiplicity 1)
O (0.0000, 0.0000, 0.5000) (multiplicity 3)

Computed properties:
Final energy, eV per atom: -3.636
Fermi-level density of states, states/eV/cell: 5.6

First-principles (PBE+U) data for an optimized crystal structure of CsMoO3, as listed in Alexandria.

a b c (Å): 3.6367 7.5107 7.4118
angles (deg): 90.00 90.00 90.00
Space group Amm2 (No. 38)
Inequivalent atoms, fractional coordinates:
Cs (0.0000, 0.0000, 0.0000) (multiplicity 2)
Mo (0.5000, 0.0000, 0.4767) (multiplicity 2)
O (0.0000, 0.0000, 0.5833) (multiplicity 2)
O (0.5000, 0.2001, 0.3436) (multiplicity 4)

Computed properties:
Final energy, eV per atom: -6.151
Fermi-level density of states, states/eV/cell: 0.0

First-principles (PBE+U) data for an optimized crystal structure of Cs3Mo5O12, as listed in Alexandria.

a b c (Å): 14.0785 14.0785 14.0785
angles (deg): 90.00 90.00 90.00
Space group Ia-3d (No. 230)
Inequivalent atoms, fractional coordinates:
Cs (0.0000, 0.2500, 0.1250) (multiplicity 24)
Mo (0.0000, 0.0000, 0.0000) (multiplicity 16)
Mo (0.0000, 0.2500, 0.3750) (multiplicity 24)
O (0.0327, 0.1441, 0.9498) (multiplicity 96)

Computed properties:
Final energy, eV per atom: -6.422

First-principles (PBE+U) data for an optimized crystal structure of CsMoO3, as listed in Alexandria.

a b c (Å): 6.4498 15.5385 5.4421
angles (deg): 90.00 90.00 90.00
Space group Cmcm (No. 63)
Inequivalent atoms, fractional coordinates:
Cs (0.0000, 0.1618, 0.2500) (multiplicity 4)
Mo (0.0000, 0.4125, 0.2500) (multiplicity 4)
O (0.0000, 0.5000, 0.0000) (multiplicity 4)
O (0.2294, 0.3487, 0.2500) (multiplicity 8)

Computed properties:
Final energy, eV per atom: -6.196
Fermi-level density of states, states/eV/cell: 0.0

no.,M_tot (Bohr magnetons per cell)
1,0.11
2,2.00
3,2.00
4,4.35
5,4.38
6,2.00
7,72.00
8,0.00